DFT (PBE) results for crystalline NaErInPd at its relaxed geometry.

abc: 6.9580 6.9580 6.9580
angles: 90.00 90.00 90.00
Space group F-43m (No. 216)
Unique sites:
Na  0.0000  0.0000  0.0000 x4
Er  0.2500  0.2500  0.7500 x4
In  0.2500  0.2500  0.2500 x4
Pd  0.0000  0.0000  0.5000 x4

Summary:
calculated formation energy	-0.386	eV/atom
calculated volume	21.054	A^3/atom

***

DFT (PBE) results for crystalline NaPrErIn at its relaxed geometry.

abc: 7.7411 7.7411 7.7411
angles: 90.00 90.00 90.00
Space group F-43m (No. 216)
Unique sites:
Na  0.0000  0.0000  0.0000 x4
Pr  0.2500  0.2500  0.7500 x4
Er  0.2500  0.2500  0.2500 x4
In  0.0000  0.0000  0.5000 x4

Summary:
calculated formation energy	-0.132	eV/atom
calculated volume	28.993	A^3/atom

***

DFT (PBE) results for crystalline NaErInPt at its relaxed geometry.

abc: 6.9141 6.9141 6.9141
angles: 90.00 90.00 90.00
Space group F-43m (No. 216)
Unique sites:
Na  0.0000  0.0000  0.0000 x4
Er  0.2500  0.2500  0.2500 x4
In  0.2500  0.2500  0.7500 x4
Pt  0.0000  0.0000  0.5000 x4

Summary:
calculated formation energy	-0.553	eV/atom
calculated volume	20.657	A^3/atom

***

DFT (PBE) results for crystalline NaErIn4S8 at its relaxed geometry.

abc: 7.8533 7.8533 19.3695
angles: 90.00 90.00 120.00
Space group R3m (No. 160, hexagonal axes)
Unique sites:
Na  0.0000  0.0000  0.0000 x3
Er  0.0000  0.0000  0.3657 x3
In  0.0000  0.0000  0.7497 x3
In  0.0168  0.5084  0.8757 x9
S  0.0000  0.0000  0.1346 x3
S  0.0000  0.0000  0.6133 x3
S  0.0209  0.5104  0.1262 x9
S  0.1770  0.3541  0.9504 x9

Summary:
calculated volume	24.632	A^3/atom
raw formation energy	-20.238	kcal/mol of atoms

***

DFT (PBE) results for crystalline Na3Er2InS6 at its relaxed geometry.

abc: 6.7778 11.7397 7.0850
angles: 90.00 108.57 90.00
Space group C2/m (No. 12)
Unique sites:
Na  0.0000  0.0000  0.0000 x2
Na  0.0000  0.3348  0.0000 x4
Er  0.0000  0.1668  0.5000 x4
In  0.0000  0.5000  0.5000 x2
S  0.2394  0.3356  0.7249 x8
S  0.2460  0.0000  0.7238 x4

Summary:
calculated volume	22.266	A^3/atom
raw formation energy	-34.743	kcal/mol of atoms

***

DFT (PBE) results for crystalline Na4ErIn3S8 at its relaxed geometry.

abc: 7.7406 7.7406 20.1862
angles: 90.00 90.00 120.00
Space group R-3m (No. 166, hexagonal axes)
Unique sites:
Na  0.0000  0.0000  0.0000 x3
Na  0.0000  0.5000  0.0000 x9
Er  0.0000  0.0000  0.5000 x3
In  0.0000  0.5000  0.5000 x9
S  0.0000  0.0000  0.2384 x6
S  0.0041  0.5020  0.7584 x18

Summary:
calculated volume	21.824	A^3/atom
raw formation energy	-25.363	kcal/mol of atoms

***

DFT (PBE) results for crystalline Na4ErIn3Se8 at its relaxed geometry.

abc: 8.1057 8.1057 21.1755
angles: 90.00 90.00 120.00
Space group R-3m (No. 166, hexagonal axes)
Unique sites:
Na  0.0000  0.0000  0.0000 x3
Na  0.0000  0.5000  0.0000 x9
Er  0.0000  0.0000  0.5000 x3
In  0.0000  0.5000  0.5000 x9
Se  0.0000  0.0000  0.2387 x6
Se  0.0036  0.5018  0.7578 x18

Summary:
calculated volume	25.102	A^3/atom
raw formation energy	-23.345	kcal/mol of atoms

***

DFT (PBE) results for crystalline Na3Er2InSe6 at its relaxed geometry.

abc: 7.0764 12.2571 7.4276
angles: 90.00 108.50 90.00
Space group C2/m (No. 12)
Unique sites:
Na  0.0000  0.0000  0.0000 x2
Na  0.0000  0.3345  0.0000 x4
Er  0.0000  0.1668  0.5000 x4
In  0.0000  0.5000  0.5000 x2
Se  0.2402  0.3354  0.7270 x8
Se  0.2464  0.0000  0.7260 x4

Summary:
calculated volume	25.456	A^3/atom
raw formation energy	-31.948	kcal/mol of atoms

***

DFT (PBE) results for crystalline NaSmErIn at its relaxed geometry.

abc: 7.6686 7.6686 7.6686
angles: 90.00 90.00 90.00
Space group F-43m (No. 216)
Unique sites:
Na  0.0000  0.0000  0.0000 x4
Sm  0.2500  0.2500  0.7500 x4
Er  0.2500  0.2500  0.2500 x4
In  0.0000  0.0000  0.5000 x4

Summary:
calculated formation energy	-0.125	eV/atom
calculated volume	28.185	A^3/atom

***

DFT (PBE) results for crystalline NaSrErIn at its relaxed geometry.

abc: 7.9457 7.9457 7.9457
angles: 90.00 90.00 90.00
Space group F-43m (No. 216)
Unique sites:
Na  0.0000  0.0000  0.0000 x4
Sr  0.2500  0.2500  0.7500 x4
Er  0.2500  0.2500  0.2500 x4
In  0.0000  0.0000  0.5000 x4

Summary:
calculated formation energy	-0.097	eV/atom
calculated volume	31.353	A^3/atom

***

DFT (PBE) results for crystalline NaTbErIn at its relaxed geometry.

abc: 7.6095 7.6095 7.6095
angles: 90.00 90.00 90.00
Space group F-43m (No. 216)
Unique sites:
Na  0.0000  0.0000  0.0000 x4
Tb  0.2500  0.2500  0.2500 x4
Er  0.2500  0.2500  0.7500 x4
In  0.0000  0.0000  0.5000 x4

Summary:
calculated formation energy	-0.114	eV/atom
calculated volume	27.539	A^3/atom

***

DFT (PBE) results for crystalline Na4Er3InTe8 at its relaxed geometry.

abc: 8.7778 8.7778 22.7592
angles: 90.00 90.00 120.00
Space group R-3m (No. 166, hexagonal axes)
Unique sites:
Na  0.0000  0.0000  0.0000 x3
Na  0.0000  0.5000  0.0000 x9
Er  0.0000  0.5000  0.5000 x9
In  0.0000  0.0000  0.5000 x3
Te  0.0000  0.0000  0.2433 x6
Te  0.0025  0.5012  0.2428 x18

Summary:
calculated volume	31.641	A^3/atom
raw formation energy	-25.283	kcal/mol of atoms